Here is CaAg4Pd2 after structural relaxation from Alexandria via LeMat-Bulk. Energies are from GGA-PBE.

Output
- final energy (eV/atom) = -3.619

Lattice parameters (Å, degrees): 5.504 6.945 6.992 90.00 90.00 90.00
Space group Immm (No. 71)
Asymmetric unit:
Ca  0.000  0.000  0.000 x2
Ag  0.000  0.300  0.301 x8
Pd  0.249  0.500  0.000 x4



Here is Ca2AgPd after structural relaxation from Alexandria via LeMat-Bulk. Energies are from GGA-PBE.

Output
- final energy (eV/atom) = -3.510

Lattice parameters (Å, degrees): 3.615 3.615 7.293 90.00 90.00 90.00
Space group P4/mmm (No. 123)
Asymmetric unit:
Ca  0.000  0.000  0.234 x2
Ag  0.500  0.500  0.500 x1
Pd  0.500  0.500  0.000 x1



Here is CaAg8Pd4 after structural relaxation from Alexandria via LeMat-Bulk. Energies are from GGA-PBE.

Output
- final energy (eV/atom) = -3.648

Lattice parameters (Å, degrees): 9.348 9.348 5.542 90.00 90.00 90.00
Space group I4/mmm (No. 139)
Asymmetric unit:
Ca  0.000  0.000  0.000 x2
Ag  0.000  0.219  0.500 x8
Ag  0.000  0.346  0.000 x8
Pd  0.250  0.250  0.250 x8